No. 1
Here is crystalline Cd2FePbI at its relaxed geometry from Alexandria via LeMat-Bulk. Energies are from PBEsol.

```
data_Cd2FePbI
_symmetry_space_group_name_H-M 'P 4/m m m'
_symmetry_Int_Tables_number 123
_symmetry_space_group_name_Hall '-P 4 2'
_cell_length_a 5.741
_cell_length_b 5.741
_cell_length_c 4.607
_cell_angle_alpha 90.00
_cell_angle_beta 90.00
_cell_angle_gamma 90.00
loop_
_atom_site_label
_atom_site_type_symbol
_atom_site_fract_x
_atom_site_fract_y
_atom_site_fract_z
Cd1 Cd 0.000 0.500 0.000
Fe1 Fe 0.000 0.000 0.500
Pb1 Pb 0.500 0.500 0.500
I1 I 0.000 0.000 0.000
```

## Properties
calculated total energy: -2.390 eV/atom

No. 2
Here is crystalline CdFeSiI2 at its relaxed geometry from Alexandria via LeMat-Bulk. Energies are from PBEsol.

```
data_CdFeSiI2
_symmetry_space_group_name_H-M 'P 4/m m m'
_symmetry_Int_Tables_number 123
_symmetry_space_group_name_Hall '-P 4 2'
_cell_length_a 5.377
_cell_length_b 5.377
_cell_length_c 4.321
_cell_angle_alpha 90.00
_cell_angle_beta 90.00
_cell_angle_gamma 90.00
loop_
_atom_site_label
_atom_site_type_symbol
_atom_site_fract_x
_atom_site_fract_y
_atom_site_fract_z
Cd1 Cd 0.000 0.000 0.000
Fe1 Fe 0.500 0.500 0.500
Si1 Si 0.500 0.500 0.000
I1 I 0.000 0.500 0.500
```

## Properties
calculated total energy: -3.484 eV/atom

No. 3
Here is crystalline ZnCdFe2I at its relaxed geometry from Alexandria via LeMat-Bulk. Energies are from PBEsol.

```
data_ZnCdFe2I
_symmetry_space_group_name_H-M 'P 4/m m m'
_symmetry_Int_Tables_number 123
_symmetry_space_group_name_Hall '-P 4 2'
_cell_length_a 4.666
_cell_length_b 4.666
_cell_length_c 4.923
_cell_angle_alpha 90.00
_cell_angle_beta 90.00
_cell_angle_gamma 90.00
loop_
_atom_site_label
_atom_site_type_symbol
_atom_site_fract_x
_atom_site_fract_y
_atom_site_fract_z
Zn1 Zn 0.000 0.000 0.000
Cd1 Cd 0.000 0.000 0.500
Fe1 Fe 0.000 0.500 0.000
I1 I 0.500 0.500 0.500
```

## Properties
calculated total energy: -3.444 eV/atom

No. 4
Here is crystalline CdIn2Fe at its relaxed geometry from Alexandria via LeMat-Bulk. Energies are from PBEsol.

```
data_CdIn2Fe
_symmetry_space_group_name_H-M 'I 4/m m m'
_symmetry_Int_Tables_number 139
_symmetry_space_group_name_Hall '-I 4 2'
_cell_length_a 4.172
_cell_length_b 4.172
_cell_length_c 8.573
_cell_angle_alpha 90.00
_cell_angle_beta 90.00
_cell_angle_gamma 90.00
loop_
_atom_site_label
_atom_site_type_symbol
_atom_site_fract_x
_atom_site_fract_y
_atom_site_fract_z
Cd1 Cd 0.000 0.000 0.000
In1 In 0.000 0.500 0.250
Fe1 Fe 0.000 0.000 0.500
```

## Properties
E_form: 0.2986 eV per atom